[1]
An optimized crystal structure of CaPm4Nd5. Source: Alexandria, functional PBE.

Cell: 3.6895 3.6895 26.1208 Å, 90.00 90.00 90.00°
Last column: nearest neighbours and their distance in Å.
Sites, in units of the cell vectors:
Ca  0.0000  0.0000  0.0000  4 Ca 3.69, 8 Nd 3.83
Pm  0.0000  0.0000  0.2025  8 Nd 3.60-3.70, 4 Pm 3.69
Pm  0.0000  0.0000  0.4009  8 Nd 3.66-3.68, 4 Pm 3.69
Pm  0.0000  0.0000  0.5991  8 Nd 3.66-3.68, 4 Pm 3.69
Pm  0.0000  0.0000  0.7975  8 Nd 3.60-3.70, 4 Pm 3.69
Nd  0.5000  0.5000  0.1074  4 Pm 3.60, 4 Nd 3.69, 4 Ca 3.83
Nd  0.5000  0.5000  0.3027  8 Pm 3.66-3.70, 4 Nd 3.69
Nd  0.5000  0.5000  0.5000  8 Pm 3.68, 4 Nd 3.69
Nd  0.5000  0.5000  0.6973  8 Pm 3.66-3.70, 4 Nd 3.69
Nd  0.5000  0.5000  0.8926  4 Pm 3.60, 4 Nd 3.69, 4 Ca 3.83

Summary:
magnetic moment = 0.00 Bohr magnetons per cell
DOS(E_F) = 13.86 states/eV per cell
raw total energy = -44.617 eV per cell

=====

[2]
An optimized crystal structure of CaPm6Nd2. Source: Alexandria, functional PBE.

Cell: 6.4007 10.5742 11.1333 Å, 121.77 90.01 95.77°
Last column: nearest neighbours and their distance in Å.
Sites, in units of the cell vectors:
Ca  0.2500  0.0000  0.9162  10 Pm 3.67-3.82, 2 Ca 3.71
Ca  0.7500  0.0000  0.0838  10 Pm 3.67-3.82, 2 Ca 3.71
Pm  0.3646  0.6662  0.5842  7 Pm 3.58-3.74, 4 Nd 3.66-3.74, 1 Ca 3.67
Pm  0.1462  0.3422  0.2576  7 Pm 3.58-3.75, 3 Nd 3.62-3.66, 2 Ca 3.74-3.75
Pm  0.6354  0.3338  0.4158  7 Pm 3.58-3.74, 4 Nd 3.66-3.74, 1 Ca 3.67
Pm  0.8538  0.6578  0.7424  7 Pm 3.58-3.75, 3 Nd 3.62-3.66, 2 Ca 3.74-3.75
Pm  0.7500  0.0001  0.4197  7 Pm 3.58-3.70, 4 Nd 3.66, 1 Ca 3.74
Pm  0.8645  0.6662  0.0822  7 Pm 3.58-3.74, 4 Nd 3.66-3.74, 1 Ca 3.67
Pm  0.2500  0.9999  0.5803  7 Pm 3.58-3.70, 4 Nd 3.66, 1 Ca 3.74
Pm  0.1355  0.3338  0.9178  7 Pm 3.58-3.74, 4 Nd 3.66-3.74, 1 Ca 3.67
Pm  0.3536  0.6578  0.9155  7 Pm 3.58-3.75, 3 Nd 3.62-3.66, 2 Ca 3.74-3.75
Pm  0.2500  0.9999  0.2592  7 Pm 3.58-3.75, 2 Nd 3.61, 3 Ca 3.75-3.82
Pm  0.6464  0.3422  0.0845  7 Pm 3.58-3.75, 3 Nd 3.62-3.66, 2 Ca 3.74-3.75
Pm  0.7500  0.0001  0.7408  7 Pm 3.58-3.75, 2 Nd 3.61, 3 Ca 3.75-3.82
Nd  0.6386  0.3335  0.7513  10 Pm 3.61-3.74, 2 Nd 3.71
Nd  0.1387  0.3334  0.5820  10 Pm 3.61-3.74, 2 Nd 3.71
Nd  0.3614  0.6665  0.2487  10 Pm 3.61-3.74, 2 Nd 3.71
Nd  0.8613  0.6666  0.4180  10 Pm 3.61-3.74, 2 Nd 3.71

Summary:
magnetic moment = 0.00 Bohr magnetons per cell
DOS(E_F) = 24.84 states/eV per cell
raw total energy = -79.474 eV per cell

=====

[3]
An optimized crystal structure of Ca2PmNd5. Source: Alexandria, functional PBE.

Cell: 5.2429 5.2429 11.2559 Å, 103.47 103.47 90.00°
Last column: nearest neighbours and their distance in Å.
Sites, in units of the cell vectors:
Ca  0.7500  0.7500  0.5000  4 Ca 3.71, 8 Nd 3.84
Ca  0.2500  0.2500  0.5000  4 Ca 3.71, 8 Nd 3.84
Pm  0.0000  0.0000  0.0000  12 Nd 3.63-3.71
Nd  0.5000  0.5000  0.0000  8 Nd 3.63, 4 Pm 3.71
Nd  0.3820  0.8820  0.7641  2 Pm 3.63, 6 Nd 3.63-3.71, 4 Ca 3.84
Nd  0.8820  0.3820  0.7641  6 Nd 3.63-3.71, 2 Pm 3.63, 4 Ca 3.84
Nd  0.6180  0.1180  0.2359  2 Pm 3.63, 6 Nd 3.63-3.71, 4 Ca 3.84
Nd  0.1180  0.6180  0.2359  6 Nd 3.63-3.71, 2 Pm 3.63, 4 Ca 3.84

Summary:
magnetic moment = 0.00 Bohr magnetons per cell
DOS(E_F) = 12.34 states/eV per cell
raw total energy = -32.255 eV per cell

=====

[4]
An optimized crystal structure of CaPm4Nd. Source: Alexandria, functional PBE.

Cell: 3.6947 6.4293 9.2074 Å, 96.89 101.57 90.04°
Last column: nearest neighbours and their distance in Å.
Sites, in units of the cell vectors:
Ca  0.2066  0.0144  0.0819  8 Pm 3.67-3.73, 2 Ca 3.69, 2 Nd 3.73
Pm  0.3767  0.7326  0.4189  7 Pm 3.62-3.69, 4 Nd 3.66-3.76, 1 Ca 3.73
Pm  0.5375  0.1265  0.7415  2 Nd 3.57, 8 Pm 3.62-3.77, 2 Ca 3.73
Pm  0.0432  0.6183  0.7519  1 Nd 3.59, 10 Pm 3.64-3.77, 1 Ca 3.67
Pm  0.7078  0.5163  0.0830  7 Pm 3.64-3.73, 4 Ca 3.70-3.72, 1 Nd 3.72
Nd  0.8782  0.2419  0.4229  8 Pm 3.57-3.76, 2 Nd 3.69, 2 Ca 3.73

Summary:
magnetic moment = 0.00 Bohr magnetons per cell
DOS(E_F) = 8.23 states/eV per cell
energy above the lowest structure with this stoichiometry = 0.0 meV per atom
raw total energy = -25.539 eV per cell

=====

[5]
An optimized crystal structure of CaPm5Nd4. Source: Alexandria, functional PBE.

Cell: 3.6896 3.6896 26.0562 Å, 90.00 90.00 90.00°
Last column: nearest neighbours and their distance in Å.
Sites, in units of the cell vectors:
Ca  0.0000  0.0000  0.0000  4 Ca 3.69, 8 Pm 3.82
Pm  0.5000  0.5000  0.1069  4 Nd 3.59, 4 Pm 3.69, 4 Ca 3.82
Pm  0.5000  0.5000  0.3023  8 Nd 3.66-3.70, 4 Pm 3.69
Pm  0.5000  0.5000  0.5000  8 Nd 3.68, 4 Pm 3.69
Pm  0.5000  0.5000  0.6977  8 Nd 3.66-3.70, 4 Pm 3.69
Pm  0.5000  0.5000  0.8931  4 Nd 3.59, 4 Pm 3.69, 4 Ca 3.82
Nd  0.0000  0.0000  0.2018  8 Pm 3.59-3.70, 4 Nd 3.69
Nd  0.0000  0.0000  0.4006  8 Pm 3.66-3.68, 4 Nd 3.69
Nd  0.0000  0.0000  0.5994  8 Pm 3.66-3.68, 4 Nd 3.69
Nd  0.0000  0.0000  0.7982  8 Pm 3.59-3.70, 4 Nd 3.69

Summary:
magnetic moment = 0.00 Bohr magnetons per cell
DOS(E_F) = 14.38 states/eV per cell
raw total energy = -44.570 eV per cell

=====

[6]
An optimized crystal structure of Ca2Pm4Nd. Source: Alexandria, functional PBE.

Cell: 3.5794 5.9531 12.4285 Å, 103.88 98.28 90.00°
Last column: nearest neighbours and their distance in Å.
Sites, in units of the cell vectors:
Ca  0.2791  0.2789  0.5581  6 Ca 3.58-3.74, 6 Pm 3.67-3.96
Ca  0.7209  0.7211  0.4419  6 Ca 3.58-3.74, 6 Pm 3.67-3.96
Nd  0.0000  0.0000  0.0000  8 Pm 3.54-3.60, 2 Nd 3.58
Pm  0.0804  0.5806  0.1608  2 Nd 3.54, 7 Pm 3.58-3.84, 2 Ca 3.80
Pm  0.9196  0.4194  0.8392  2 Nd 3.54, 7 Pm 3.58-3.84, 2 Ca 3.80
Pm  0.3690  0.8687  0.7380  6 Pm 3.58-3.68, 2 Nd 3.60, 4 Ca 3.67-3.96
Pm  0.6310  0.1313  0.2620  6 Pm 3.58-3.68, 2 Nd 3.60, 4 Ca 3.67-3.96

Summary:
magnetic moment = 0.00 Bohr magnetons per cell
DOS(E_F) = 11.11 states/eV per cell
energy above the lowest structure with this stoichiometry = 0.0 meV per atom
raw total energy = -26.926 eV per cell